Compound: Pm3Dy2Y5
Source: the Alexandria database
Functional: PBE-GGA
Structure: optimized geometry

Unit cell a=6.761 b=11.766 c=11.766 alpha=49.57 beta=73.30 gamma=73.30
Fractional positions:
1 Pm 0.250 0.000 0.000
2 Pm 0.750 0.000 0.000
3 Pm 0.375 0.438 0.812
4 Pm 0.625 0.562 0.188
5 Pm 0.875 0.812 0.438
6 Pm 0.125 0.188 0.562
7 Dy 0.058 0.694 0.190
8 Dy 0.942 0.306 0.810
9 Dy 0.558 0.190 0.694
10 Dy 0.442 0.810 0.306
11 Y 0.250 0.500 0.500
12 Y 0.750 0.500 0.500
13 Y 0.418 0.832 0.832
14 Y 0.082 0.168 0.168
15 Y 0.582 0.168 0.168
16 Y 0.918 0.832 0.832
17 Y 0.210 0.461 0.119
18 Y 0.790 0.539 0.881
19 Y 0.710 0.119 0.461
20 Y 0.290 0.881 0.539

Properties
The crystal system is orthorhombic. As for the total magnetic moment: 0.00 μB per atom. The value obtained for the offset from the most stable computed form is 0.419 eV/f.u.